(1)
The following is a DFT calculation (PBE) of an optimized crystal structure of CsSb3Pb.

abc: 6.085 6.085 6.085
angles: 90.00 90.00 90.00
Space group Pm-3m (No. 221)
Symmetry-distinct sites (fractional):
1 Cs 0.000 0.000 0.000 x1
2 Sb 0.000 0.000 0.500 x3
3 Pb 0.500 0.500 0.500 x1

Output
As for the density of states at the Fermi level: 4.4 states/eV per cell. For the energy above the most stable polymorph in this dataset, the calculation gives 0.937 eV per atom. The uncorrected formation energy comes out at 1.33 eV/atom. The total moment is 0.00 μB per cell. The raw total energy comes out at -10.30 eV per cell. The calculation puts the volume at 45.06 Å³/atom.

=====

(2)
The following is a DFT calculation (PBE) of an optimized crystal structure of Ce2Th3TaN6.

abc: 6.097 10.541 6.114
angles: 90.00 109.45 90.00
Space group C2/m (No. 12)
Symmetry-distinct sites (fractional):
1 Ce 0.000 0.166 0.000 x4
2 Th 0.000 0.000 0.500 x2
3 Th 0.000 0.332 0.500 x4
4 Ta 0.000 0.500 0.000 x2
5 N 0.224 0.349 0.221 x8
6 N 0.226 0.500 0.768 x4

Output
As for the density of states at the Fermi level: 13.9 states/eV per cell. The uncorrected formation energy comes out at -1.44 eV/atom. The total moment is 0.00 μB per cell. The raw total energy comes out at -226.45 eV per cell. The calculation puts the volume at 15.44 Å³/atom.